Record 1
Material: Th2PaGe3
Method: DFT, PBE
State: relaxed

Lattice parameters (Å, degrees): 7.362 7.362 7.358 99.61 99.61 120.01
Fractional coordinates of all 12 atoms:
Th1 0.000 0.000 0.000
Th2 0.165 0.835 0.500
Th3 0.500 0.500 0.500
Th4 0.835 0.165 0.500
Pa1 0.332 0.668 0.000
Pa2 0.668 0.332 0.000
Ge1 0.080 0.422 0.240
Ge2 0.263 0.263 0.762
Ge3 0.422 0.080 0.240
Ge4 0.578 0.920 0.760
Ge5 0.737 0.737 0.238
Ge6 0.920 0.578 0.760

Values from the calculation:
Energy of formation = -15.2 kcal/mol of atoms
SG = C2/m, No. 12

***

Record 2
Material: Th5PaGe6
Method: DFT, PBE
State: relaxed

Lattice parameters (Å, degrees): 7.410 7.410 7.406 99.60 99.60 120.00
Fractional coordinates of all 12 atoms:
Th1 0.000 0.000 0.000
Th2 0.166 0.834 0.500
Th3 0.331 0.669 0.000
Th4 0.669 0.331 0.000
Th5 0.834 0.166 0.500
Pa1 0.500 0.500 0.500
Ge1 0.094 0.419 0.256
Ge2 0.258 0.258 0.746
Ge3 0.419 0.094 0.256
Ge4 0.581 0.906 0.744
Ge5 0.742 0.742 0.254
Ge6 0.906 0.581 0.744

Values from the calculation:
Energy of formation = -16.5 kcal/mol of atoms
SG = C2/m, No. 12

***

Record 3
Material: Th2PaGe3
Method: DFT, PBE
State: relaxed

Lattice parameters (Å, degrees): 7.355 7.355 7.355 146.39 131.76 60.08
Fractional coordinates of all 6 atoms:
Th1 0.168 0.168 0.000
Th2 0.832 0.832 0.000
Pa1 0.500 0.500 0.000
Ge1 0.000 0.500 0.500
Ge2 0.342 0.842 0.500
Ge3 0.658 0.158 0.500

Values from the calculation:
Energy of formation = -15.1 kcal/mol of atoms
SG = Immm, No. 71

***

Record 4
Material: ThPa3Ge4
Method: DFT, PBE
State: relaxed

Lattice parameters (Å, degrees): 7.575 7.575 3.152 90.13 90.13 89.99
Fractional coordinates of all 8 atoms:
Th1 0.000 0.000 0.000
Pa1 0.000 0.500 0.000
Pa2 0.500 0.000 0.000
Pa3 0.500 0.500 0.000
Ge1 0.255 0.255 0.500
Ge2 0.255 0.745 0.500
Ge3 0.745 0.255 0.500
Ge4 0.745 0.745 0.500

Values from the calculation:
Energy of formation = -10.3 kcal/mol of atoms
SG = C2/m, No. 12

***

Record 5
Material: Th2PaGe
Method: DFT, PBE
State: relaxed

Lattice parameters (Å, degrees): 11.659 11.659 11.659 16.25 16.25 16.25
Fractional coordinates of all 4 atoms:
Th1 0.093 0.093 0.093
Th2 0.907 0.907 0.907
Pa1 0.000 0.000 0.000
Ge1 0.500 0.500 0.500

Values from the calculation:
Energy of formation = 4.3 kcal/mol of atoms
SG = R-3m, No. 166

***

Record 6
Material: ThPa2Ge
Method: DFT, PBE
State: relaxed

Lattice parameters (Å, degrees): 5.192 5.192 5.192 60.00 60.00 60.00
Fractional coordinates of all 4 atoms:
Th1 0.000 0.000 0.000
Pa1 0.250 0.250 0.250
Pa2 0.750 0.750 0.750
Ge1 0.500 0.500 0.500

Values from the calculation:
Energy of formation = 2.5 kcal/mol of atoms
SG = Fm-3m, No. 225

***

Record 7
Material: Th2PaGe2
Method: DFT, PBE
State: relaxed

Lattice parameters (Å, degrees): 7.821 7.821 4.161 90.00 90.00 90.00
Fractional coordinates of all 10 atoms:
Th1 0.180 0.320 0.000
Th2 0.320 0.820 0.000
Th3 0.680 0.180 0.000
Th4 0.820 0.680 0.000
Pa1 0.000 0.000 0.500
Pa2 0.500 0.500 0.500
Ge1 0.122 0.622 0.500
Ge2 0.378 0.122 0.500
Ge3 0.622 0.878 0.500
Ge4 0.878 0.378 0.500

Values from the calculation:
Energy of formation = -13.2 kcal/mol of atoms
SG = P4/mbm, No. 127

***

Record 8
Material: Th2PaGe
Method: DFT, PBE
State: relaxed

Lattice parameters (Å, degrees): 4.819 4.819 4.498 90.00 90.00 90.00
Fractional coordinates of all 4 atoms:
Th1 0.000 0.500 0.000
Th2 0.500 0.000 0.000
Pa1 0.000 0.000 0.500
Ge1 0.500 0.500 0.500

Values from the calculation:
Energy of formation = -3.9 kcal/mol of atoms
SG = P4/mmm, No. 123

***

Record 9
Material: Th2PaGe
Method: DFT, PBE
State: relaxed

Lattice parameters (Å, degrees): 3.946 3.946 6.866 90.00 90.00 90.00
Fractional coordinates of all 4 atoms:
Th1 0.000 0.000 0.235
Th2 0.000 0.000 0.765
Pa1 0.500 0.500 0.500
Ge1 0.500 0.500 0.000

Values from the calculation:
Energy of formation = -3.0 kcal/mol of atoms
SG = P4/mmm, No. 123

***

Record 10
Material: ThPaZnGe
Method: DFT, PBE
State: relaxed

Lattice parameters (Å, degrees): 5.103 5.103 5.103 60.00 60.00 60.00
Fractional coordinates of all 4 atoms:
Th1 0.000 0.000 0.000
Pa1 0.500 0.500 0.500
Zn1 0.250 0.250 0.250
Ge1 0.750 0.750 0.750

Values from the calculation:
Energy of formation = -3.9 kcal/mol of atoms
SG = F-43m, No. 216

***

Record 11
Material: Pa2TiGe
Method: DFT, PBE
State: relaxed

Lattice parameters (Å, degrees): 4.255 4.255 4.551 90.00 90.00 90.00
Fractional coordinates of all 4 atoms:
Pa1 0.000 0.500 0.000
Pa2 0.500 0.000 0.000
Ti1 0.000 0.000 0.500
Ge1 0.500 0.500 0.500

Values from the calculation:
Energy of formation = -6.6 kcal/mol of atoms
SG = P4/mmm, No. 123

***

Record 12
Material: Pa2TiGe
Method: DFT, PBE
State: relaxed

Lattice parameters (Å, degrees): 4.988 4.988 4.988 60.00 60.00 60.00
Fractional coordinates of all 4 atoms:
Pa1 0.250 0.250 0.250
Pa2 0.750 0.750 0.750
Ti1 0.000 0.000 0.000
Ge1 0.500 0.500 0.500

Values from the calculation:
Energy of formation = 1.7 kcal/mol of atoms
SG = Fm-3m, No. 225

***

Repeat the ninth record exactly.
Material: Th2PaGe
Method: DFT, PBE
State: relaxed

Lattice parameters (Å, degrees): 3.946 3.946 6.866 90.00 90.00 90.00
Fractional coordinates of all 4 atoms:
Th1 0.000 0.000 0.235
Th2 0.000 0.000 0.765
Pa1 0.500 0.500 0.500
Ge1 0.500 0.500 0.000

Values from the calculation:
Energy of formation = -3.0 kcal/mol of atoms
SG = P4/mmm, No. 123

***

Q: Among the records above, which one has the highest energy of formation?
A: number 5

***

Q: Among the records above, which one has the lowest energy of formation?
A: Th5PaGe6